4
Lattice="0.105 -3.237 2.826 0.483 0.821 4.191 -3.289 -0.603 2.701" Properties=species:S:1:pos:R:3 comment="ZnCdFeCo (PBE, optimized geometry)" final_energy_ev_per_cell=-16.67 de_polymorph_mev_per_atom=0 sg="No. 216" formation_enthalpy_0k_mev_per_atom=225 pbc="T T T"
Co -1.350 -1.509 4.859
Cd -0.675 -0.755 2.430
Zn 0.000 0.000 0.000
Fe -2.025 -2.264 7.289

2
Lattice="0.000 4.290 4.290 4.290 0.000 4.290 4.290 4.290 0.000" Properties=species:S:1:pos:R:3 comment="CsNd (PBE, optimized geometry)" final_energy_ev_per_cell=-2.04 de_polymorph_mev_per_atom=455 sg="No. 216" pbc="T T T"
Cs 0.000 0.000 0.000
Nd 2.145 2.145 2.145

10
Lattice="-3.109 3.109 4.776 3.109 -3.109 4.776 3.109 3.109 -4.776" Properties=species:S:1:pos:R:3 comment="Rb2DyPbF6 (PBE, optimized geometry)" final_energy_ev_per_cell=-50.00 sg="No. 87" pbc="T T T"
F 1.136 3.997 0.000
Pb 0.000 0.000 0.000
F 0.000 0.000 2.641
F 2.220 1.136 0.000
F 0.888 1.973 4.776
Rb 3.109 0.000 2.388
F 0.000 0.000 6.912
Dy 0.000 0.000 4.776
F 1.973 -0.888 4.776
Rb 0.000 3.109 2.388

7
Lattice="-7.241 3.804 3.804 -3.804 3.804 7.241 -3.804 7.241 3.804" Properties=species:S:1:pos:R:3 comment="Zr2Ag2Pb3 (PBE, optimized geometry)" final_energy_ev_per_cell=-32.05 sg="No. 160" pbc="T T T"
Zr -3.727 3.727 3.727
Ag -0.096 0.096 0.096
Pb -12.800 12.800 12.800
Pb -5.709 5.709 5.709
Zr -11.123 11.123 11.123
Pb -9.273 9.273 9.273
Ag -7.390 7.390 7.390

3
Lattice="-4.512 2.236 -0.243 -1.310 2.593 -4.121 -3.546 -1.808 -3.095" Properties=species:S:1:pos:R:3 comment="LuUTe (PBE, optimized geometry)" final_energy_ev_per_cell=-18.39 de_polymorph_mev_per_atom=0 sg="No. 216" pbc="T T T"
U -7.026 2.266 -5.593
Te 0.000 0.000 0.000
Lu -2.342 0.755 -1.864

3
Lattice="0.214 -4.020 -1.955 -3.195 -3.037 0.773 -2.899 -1.071 -3.237" Properties=species:S:1:pos:R:3 comment="HgAsPt (PBE, optimized geometry)" final_energy_ev_per_cell=-10.94 de_polymorph_mev_per_atom=0 sg="No. 216" pbc="T T T"
As -1.470 -2.032 -1.105
Pt 0.000 0.000 0.000
Hg -4.410 -6.096 -3.314

6
Lattice="-3.886 0.642 -0.920 -1.725 -2.049 -3.030 -1.015 -7.213 8.161" Properties=species:S:1:pos:R:3 comment="NdNiCl (PBE, optimized geometry)" final_energy_ev_per_cell=-31.64 sg="No. 166" pbc="T T T"
Cl -2.432 -6.472 5.765
Ni -1.397 -3.719 3.312
Nd -3.830 -5.686 3.330
Ni -5.229 -4.901 0.899
Cl -4.194 -2.148 -1.554
Nd -2.796 -2.934 0.881

3
Lattice="0.000 3.419 3.419 3.419 0.000 3.419 3.419 3.419 0.000" Properties=species:S:1:pos:R:3 comment="SrBePt (PBE, optimized geometry)" final_energy_ev_per_cell=-9.49 de_polymorph_mev_per_atom=674 sg="No. 216" pbc="T T T"
Sr 0.000 0.000 0.000
Be 1.709 1.709 1.709
Pt 5.128 5.128 5.128

3
Lattice="0.000 3.462 3.462 3.462 0.000 3.462 3.462 3.462 0.000" Properties=species:S:1:pos:R:3 comment="NdUSi (PBE, optimized geometry)" final_energy_ev_per_cell=-20.89 de_polymorph_mev_per_atom=0 sg="No. 216" pbc="T T T"
U 5.192 5.192 5.192
Si 0.000 0.000 0.000
Nd 1.731 1.731 1.731

10
Lattice="9.680 -2.094 0.000 9.680 2.094 0.000 -2.004 0.000 8.724" Properties=species:S:1:pos:R:3 comment="Pr4BI3Br2 (PBE, optimized geometry)" final_energy_ev_per_cell=-46.05 sg="No. 12" pbc="T T T"
Pr -1.591 0.000 6.949
Br 14.908 0.000 5.910
Pr 18.946 0.000 1.776
I 8.678 0.000 4.362
Pr 5.105 0.000 8.063
I 15.666 0.000 1.546
I 1.689 0.000 7.178
Br 2.447 0.000 2.815
Pr 12.250 0.000 0.662
B 9.680 0.000 0.000

5
Lattice="-3.935 0.000 0.000 0.000 -3.935 0.000 1.967 1.967 5.023" Properties=species:S:1:pos:R:3 comment="TmCo2Ge2 (PBE, optimized geometry)" final_energy_ev_per_cell=-30.91 sg="No. 139" pbc="T T T"
Co -1.967 0.000 2.511
Co 0.000 -1.967 2.511
Ge 0.000 0.000 3.751
Ge -1.967 -1.967 1.271
Tm 0.000 0.000 0.000

8
Lattice="4.436 0.000 0.000 -2.218 3.841 0.000 0.000 0.000 9.548" Properties=species:S:1:pos:R:3 comment="PrNdGa2Pt4 (PBE, optimized geometry)" final_energy_ev_per_cell=-47.63 sg="No. 187" pbc="T T T"
Ga 2.218 1.280 7.170
Pr 0.000 0.000 4.774
Pt 0.000 2.561 3.095
Pt 0.000 2.561 6.452
Ga 2.218 1.280 2.377
Nd 0.000 2.561 0.000
Pt 0.000 0.000 1.647
Pt 0.000 0.000 7.901

8
Lattice="-0.643 2.998 1.510 1.143 -1.157 2.783 4.713 0.371 -1.781" Properties=species:S:1:pos:R:3 comment="TaH3 (PBE, optimized geometry)" final_energy_ev_per_cell=-44.43 sg="No. 11" pbc="T T T"
H 4.501 0.972 1.356
H 2.900 1.758 0.473
H 2.313 0.454 2.039
H 3.115 2.103 2.395
Ta 1.286 1.727 2.990
H 2.098 0.110 0.117
H 0.712 1.240 1.157
Ta 3.927 0.485 -0.478

12
Lattice="-2.413 -2.513 3.133 4.685 -0.063 0.054 0.026 6.119 4.928" Properties=species:S:1:pos:R:3 comment="TaCo5 (PBE, optimized geometry)" final_energy_ev_per_cell=-92.94 sg="No. 194" formation_enthalpy_0k_mev_per_atom=153 pbc="T T T"
Co -1.153 -0.551 3.821
Co 2.316 2.911 5.767
Co 1.050 -0.581 3.847
Co -0.024 3.893 6.609
Co 1.248 4.123 4.268
Ta 0.000 0.000 0.000
Co 3.451 4.093 4.294
Ta 0.013 3.059 2.464
Co 2.321 -0.350 1.507
Co -0.018 0.631 2.348
Co 2.330 1.650 3.118
Co -0.032 1.892 4.997

24
Lattice="15.451 -0.002 0.000 -0.001 7.009 0.000 0.000 0.000 4.186" Properties=species:S:1:pos:R:3 comment="ZrZn (PBE, optimized geometry)" final_energy_ev_per_cell=-120.50 sg="No. 57" formation_enthalpy_0k_mev_per_atom=-115 pbc="T T T"
Zr 7.640 0.119 2.093
Zn 10.558 3.772 0.000
Zn 12.017 1.564 0.000
Zn 4.291 3.691 0.000
Zr 14.678 0.117 0.000
Zr 6.284 3.043 2.093
Zr 6.952 5.136 0.000
Zn 11.760 3.770 2.093
Zr 9.937 6.473 0.000
Zr 14.010 2.210 2.093
Zr 4.654 5.790 2.093
Zr 2.212 5.792 0.000
Zn 5.581 0.852 0.000
Zn 13.307 4.401 0.000
Zr 15.366 5.135 2.093
Zn 2.832 1.485 0.000
Zr 0.582 3.044 0.000
Zn 4.034 1.482 2.093
Zn 9.011 4.402 2.093
Zr 12.379 6.472 2.093
Zn 2.575 3.691 2.093
Zn 10.301 1.564 2.093
Zn 1.285 0.854 2.093
Zr 8.309 2.211 0.000

12
Lattice="6.402 0.000 0.000 0.000 3.573 0.000 0.000 0.000 8.382" Properties=species:S:1:pos:R:3 comment="ZnFeSb (PBE, optimized geometry)" final_energy_ev_per_cell=-53.41 de_polymorph_mev_per_atom=0 sg="No. 62" pbc="T T T"
Fe 4.736 2.680 5.506
Sb 2.727 0.893 5.481
Fe 1.536 2.680 7.067
Zn 5.636 0.893 3.801
Fe 1.665 0.893 2.876
Fe 4.866 0.893 1.315
Zn 3.966 2.680 7.992
Zn 0.766 2.680 4.581
Zn 2.435 0.893 0.390
Sb 5.928 0.893 7.092
Sb 0.473 2.680 1.290
Sb 3.674 2.680 2.901

4
Lattice="-3.420 1.072 -2.376 -3.501 -3.826 3.313 -3.430 0.349 5.097" Properties=species:S:1:pos:R:3 comment="YHoIn2 (PBE, optimized geometry)" final_energy_ev_per_cell=-18.28 sg="No. 38" pbc="T T T"
In -8.042 -2.640 6.495
Ho -2.507 -1.257 3.042
Y -6.135 -1.683 4.181
In -0.599 -0.300 0.727

12
Lattice="6.147 -3.514 0.000 6.147 3.514 0.000 0.000 0.000 6.675" Properties=species:S:1:pos:R:3 comment="Ag2HgCl2O (PBE, optimized geometry)" final_energy_ev_per_cell=-33.86 sg="No. 36" pbc="T T T"
Cl 4.243 -2.067 2.274
O 6.147 1.218 2.059
Cl 8.051 2.067 5.612
Ag 10.311 1.003 4.903
Cl 4.243 2.067 5.612
O 6.147 -1.218 5.396
Cl 8.051 -2.067 2.274
Hg 6.147 -0.094 0.448
Hg 6.147 0.094 3.785
Ag 1.983 -1.003 1.565
Ag 1.983 1.003 4.903
Ag 10.311 -1.003 1.565

8
Lattice="3.446 0.000 0.000 -1.723 2.984 0.000 0.000 0.000 12.530" Properties=species:S:1:pos:R:3 comment="Hf3ZrC2Se2 (PBE, optimized geometry)" final_energy_ev_per_cell=-73.29 sg="No. 156" pbc="T T T"
Hf 0.000 0.000 7.441
C 0.000 1.989 0.056
C 0.000 1.989 6.257
Se 1.723 0.995 9.354
Hf 1.723 0.995 5.078
Se 0.000 0.000 3.141
Hf 1.723 0.995 1.196
Zr 0.000 0.000 11.331

12
Lattice="-1.484 -2.094 3.703 4.426 0.353 -0.767 0.267 13.696 7.853" Properties=species:S:1:pos:R:3 comment="YHoZn2Sn2 (PBE, optimized geometry)" final_energy_ev_per_cell=-50.15 de_polymorph_mev_per_atom=8 sg="No. 194" pbc="T T T"
Sn 2.693 11.688 7.690
Zn 0.662 7.772 7.403
Sn 0.589 4.024 5.254
Ho 0.000 0.000 0.000
Sn 2.620 7.930 5.536
Sn 0.516 0.267 3.099
Zn 2.546 4.183 3.386
Y 0.067 3.424 1.963
Y 0.201 10.272 5.890
Zn 0.710 10.214 8.803
Zn 2.499 1.740 1.986
Ho 0.134 6.848 3.927

3
Lattice="2.524 0.193 3.537 -1.806 0.173 3.953 0.272 -3.425 2.667" Properties=species:S:1:pos:R:3 comment="GaNiTe (PBE, optimized geometry)" final_energy_ev_per_cell=-12.23 de_polymorph_mev_per_atom=58 sg="No. 216" pbc="T T T"
Te 0.742 -2.295 7.617
Ni 0.000 0.000 0.000
Ga 0.247 -0.765 2.539

3
Lattice="0.000 2.979 2.979 2.979 0.000 2.979 2.979 2.979 0.000" Properties=species:S:1:pos:R:3 comment="DyBeIr (PBE, optimized geometry)" final_energy_ev_per_cell=-18.00 de_polymorph_mev_per_atom=0 sg="No. 216" pbc="T T T"
Dy 1.489 1.489 1.489
Be 0.000 0.000 0.000
Ir 4.468 4.468 4.468

14
Lattice="0.000 6.029 6.029 6.029 0.000 6.029 6.029 6.029 0.000" Properties=species:S:1:pos:R:3 comment="Dy2TlSe4 (PBE, optimized geometry)" final_energy_ev_per_cell=-70.62 sg="No. 227" pbc="T T T"
Tl 3.014 3.014 3.014
Dy 4.521 7.536 4.521
Dy 7.536 4.521 4.521
Se 7.684 10.402 7.684
Se 7.388 7.388 4.669
Se 4.669 7.388 7.388
Se 4.669 4.669 4.669
Se 7.684 7.684 10.402
Dy 7.536 7.536 7.536
Se 7.388 4.669 7.388
Se 10.402 7.684 7.684
Tl 0.000 0.000 0.000
Se 10.402 10.402 10.402
Dy 4.521 4.521 7.536

8
Lattice="8.152 0.000 0.000 0.000 2.112 4.818 0.000 -2.112 4.818" Properties=species:S:1:pos:R:3 comment="GdMg4GaPt2 (PBE, optimized geometry)" final_energy_ev_per_cell=-30.61 sg="No. 38" pbc="T T T"
Pt 4.076 0.000 2.288
Mg 1.505 0.000 3.354
Gd 4.076 0.000 9.076
Ga 0.000 0.000 0.533
Pt 0.000 0.000 7.470
Mg 5.752 0.000 6.234
Mg 2.399 0.000 6.234
Mg 6.647 0.000 3.354

8
Lattice="3.633 0.000 0.000 -1.817 3.146 0.000 0.000 0.000 16.010" Properties=species:S:1:pos:R:3 comment="Y3TmPb2C2 (PBE, optimized geometry)" final_energy_ev_per_cell=-53.84 sg="No. 156" pbc="T T T"
Y 1.817 1.049 1.318
C 0.000 2.098 8.005
Pb 0.000 0.000 3.992
Y 1.817 1.049 6.673
C 0.000 2.098 15.975
Y 0.000 0.000 9.343
Pb 1.817 1.049 12.041
Tm 0.000 0.000 14.697